(a)
Below is a relaxed CoAsCl crystal, with properties calculated at the GGA-PBE level.

Unit cell a=4.405 b=4.405 c=4.405 alpha=60.00 beta=60.00 gamma=60.00
Sites, in units of the cell vectors:
1 Co 0.000 0.000 0.000
2 As 0.750 0.750 0.750
3 Cl 0.500 0.500 0.500

spin magnetization	1.2	μB per formula unit

=====

(b)
Below is a relaxed CoAsCl crystal, with properties calculated at the GGA-PBE level.

Unit cell a=4.161 b=4.161 c=4.161 alpha=60.00 beta=60.00 gamma=60.00
Sites, in units of the cell vectors:
1 Co 0.000 0.000 0.000
2 As 0.750 0.750 0.750
3 Cl 0.250 0.250 0.250

spin magnetization	0.2	μB per formula unit

=====

(b) wins, 590 meV/atom ahead of the next structure.

=====

(a)
Below is a relaxed CoAs3Cl crystal, with properties calculated at the GGA-PBE level.

Unit cell a=4.803 b=4.803 c=4.803 alpha=90.00 beta=90.00 gamma=90.00
Sites, in units of the cell vectors:
1 Co 0.000 0.000 0.000
2 As 0.000 0.500 0.500
3 As 0.500 0.000 0.500
4 As 0.500 0.500 0.000
5 Cl 0.500 0.500 0.500

spin magnetization	2.1	μB per formula unit

=====

(b)
Below is a relaxed CoAs3Cl crystal, with properties calculated at the GGA-PBE level.

Unit cell a=4.633 b=4.633 c=4.633 alpha=90.00 beta=90.00 gamma=90.00
Sites, in units of the cell vectors:
1 Co 0.000 0.000 0.000
2 As 0.000 0.000 0.500
3 As 0.000 0.500 0.000
4 As 0.500 0.000 0.000
5 Cl 0.500 0.500 0.500

spin magnetization	0.0	μB per formula unit

=====

(b) wins, 1039 meV/atom ahead of the next structure.

=====

(a)
Below is a relaxed Cr2AsCl crystal, with properties calculated at the GGA-PBE level.

Unit cell a=6.899 b=6.899 c=6.899 alpha=150.01 beta=150.01 gamma=42.93
Sites, in units of the cell vectors:
1 Cr 0.000 0.000 0.000
2 Cr 0.750 0.250 0.500
3 As 0.250 0.750 0.500
4 Cl 0.500 0.500 0.000

spin magnetization	8.0	μB per formula unit

=====

(b)
Below is a relaxed Cr2AsCl crystal, with properties calculated at the GGA-PBE level.

Unit cell a=4.997 b=4.997 c=3.345 alpha=106.91 beta=106.91 gamma=88.18
Sites, in units of the cell vectors:
1 Cr 0.000 0.500 0.000
2 Cr 0.500 0.000 0.000
3 As 0.000 0.000 0.500
4 Cl 0.500 0.500 0.500

spin magnetization	8.1	μB per formula unit

=====

(c)
Below is a relaxed Cr2AsCl crystal, with properties calculated at the GGA-PBE level.

Unit cell a=7.155 b=7.155 c=3.655 alpha=104.55 beta=104.55 gamma=28.18
Sites, in units of the cell vectors:
1 Cr 0.000 0.000 0.000
2 Cr 0.186 0.186 0.685
3 As 0.546 0.546 0.545
4 Cl 0.815 0.815 0.824

spin magnetization	8.0	μB per formula unit

=====

(d)
Below is a relaxed Cr2AsCl crystal, with properties calculated at the GGA-PBE level.

Unit cell a=6.096 b=6.096 c=6.096 alpha=115.03 beta=115.03 gamma=98.85
Sites, in units of the cell vectors:
1 Cr 0.113 0.625 0.988
2 Cr 0.375 0.363 0.488
3 Cr 0.637 0.125 0.012
4 Cr 0.875 0.887 0.512
5 As 0.000 0.000 0.000
6 As 0.750 0.250 0.500
7 Cl 0.250 0.750 0.500
8 Cl 0.500 0.500 0.000

spin magnetization	8.0	μB per formula unit

=====

(c) wins, 160 meV/atom ahead of the next structure.

=====

(a)
Below is a relaxed CrAsCl2 crystal, with properties calculated at the GGA-PBE level.

Unit cell a=3.345 b=3.345 c=11.714 alpha=90.00 beta=90.00 gamma=122.23
Sites, in units of the cell vectors:
1 Cr 0.000 0.000 0.000
2 As 0.000 0.000 0.500
3 Cl 0.500 0.500 0.143
4 Cl 0.500 0.500 0.857

spin magnetization	4.0	μB per formula unit

=====

(b)
Below is a relaxed CrAsCl2 crystal, with properties calculated at the GGA-PBE level.

Unit cell a=7.252 b=7.252 c=7.252 alpha=155.92 beta=138.85 gamma=48.24
Sites, in units of the cell vectors:
1 Cr 0.000 0.000 0.000
2 As 0.500 0.500 0.000
3 Cl 0.138 0.638 0.500
4 Cl 0.862 0.362 0.500

spin magnetization	2.7	μB per formula unit

=====

(c)
Below is a relaxed CrAsCl2 crystal, with properties calculated at the GGA-PBE level.

Unit cell a=5.274 b=5.117 c=4.507 alpha=66.11 beta=62.51 gamma=51.37
Sites, in units of the cell vectors:
1 Cr 0.000 0.000 0.000
2 As 0.500 0.500 0.500
3 Cl 0.000 0.500 0.500
4 Cl 0.500 0.000 0.000

spin magnetization	4.2	μB per formula unit

=====

(d)
Below is a relaxed CrAsCl2 crystal, with properties calculated at the GGA-PBE level.

Unit cell a=4.490 b=4.490 c=4.123 alpha=90.00 beta=90.00 gamma=94.33
Sites, in units of the cell vectors:
1 Cr 0.000 0.000 0.000
2 As 0.500 0.500 0.000
3 Cl 0.235 0.765 0.500
4 Cl 0.765 0.235 0.500

spin magnetization	4.2	μB per formula unit

=====

(b) wins, 50 meV/atom ahead of the next structure.

=====

(a)
Below is a relaxed CrAsCl2 crystal, with properties calculated at the GGA-PBE level.

Unit cell a=6.517 b=6.517 c=6.517 alpha=120.72 beta=120.72 gamma=88.77
Sites, in units of the cell vectors:
1 Cr 0.000 0.000 0.000
2 Cr 0.750 0.250 0.500
3 As 0.250 0.750 0.500
4 As 0.500 0.500 0.000
5 Cl 0.010 0.625 0.885
6 Cl 0.375 0.260 0.385
7 Cl 0.740 0.125 0.115
8 Cl 0.875 0.990 0.615

spin magnetization	0.9	μB per formula unit

=====

(b)
Below is a relaxed CrAsCl2 crystal, with properties calculated at the GGA-PBE level.

Unit cell a=4.537 b=4.537 c=4.537 alpha=60.00 beta=60.00 gamma=60.00
Sites, in units of the cell vectors:
1 Cr 0.000 0.000 0.000
2 As 0.500 0.500 0.500
3 Cl 0.250 0.250 0.250
4 Cl 0.750 0.750 0.750

spin magnetization	0.0	μB per formula unit

=====

(a) wins, 234 meV/atom ahead of the next structure.

=====

(a)
Below is a relaxed CrAsCl crystal, with properties calculated at the GGA-PBE level.

Unit cell a=7.182 b=7.182 c=7.182 alpha=156.79 beta=156.79 gamma=33.05
Sites, in units of the cell vectors:
1 Cr 0.000 0.000 0.000
2 As 0.380 0.380 0.000
3 Cl 0.603 0.603 0.000

spin magnetization	0.0	μB per formula unit

=====

(b)
Below is a relaxed CrAsCl crystal, with properties calculated at the GGA-PBE level.

Unit cell a=4.334 b=4.334 c=4.334 alpha=60.00 beta=60.00 gamma=60.00
Sites, in units of the cell vectors:
1 Cr 0.000 0.000 0.000
2 As 0.250 0.250 0.250
3 Cl 0.750 0.750 0.750

spin magnetization	2.3	μB per formula unit

=====

(a) wins, 65 meV/atom ahead of the next structure.

=====

(a)
Below is a relaxed CrAsCl crystal, with properties calculated at the GGA-PBE level.

Unit cell a=3.958 b=5.543 c=6.793 alpha=109.24 beta=95.12 gamma=94.56
Sites, in units of the cell vectors:
1 Cr 0.085 0.223 0.468
2 Cr 0.915 0.777 0.532
3 As 0.399 0.650 0.666
4 As 0.601 0.350 0.334
5 Cl 0.047 0.824 0.231
6 Cl 0.953 0.176 0.769

spin magnetization	0.0	μB per formula unit

=====

(b)
Below is a relaxed CrAsCl crystal, with properties calculated at the GGA-PBE level.

Unit cell a=3.606 b=3.606 c=5.959 alpha=90.00 beta=90.00 gamma=120.00
Sites, in units of the cell vectors:
1 Cr 0.000 0.000 0.000
2 As 0.667 0.333 0.195
3 Cl 0.333 0.667 0.745

spin magnetization	2.0	μB per formula unit

=====

(b) wins, 54 meV/atom ahead of the next structure.

=====

(a)
Below is a relaxed CrAsCl crystal, with properties calculated at the GGA-PBE level.

Unit cell a=4.570 b=4.570 c=4.570 alpha=60.00 beta=60.00 gamma=60.00
Sites, in units of the cell vectors:
1 Cr 0.000 0.000 0.000
2 As 0.250 0.250 0.250
3 Cl 0.500 0.500 0.500

spin magnetization	3.3	μB per formula unit

=====

(b)
Below is a relaxed CrAsCl crystal, with properties calculated at the GGA-PBE level.

Unit cell a=7.491 b=7.337 c=3.088 alpha=80.80 beta=75.19 gamma=24.01
Sites, in units of the cell vectors:
1 Cr 0.000 0.000 0.000
2 As 0.618 0.618 0.382
3 Cl 0.387 0.387 0.613

spin magnetization	3.1	μB per formula unit

=====

(b) wins, 763 meV/atom ahead of the next structure.

=====

(a)
Below is a relaxed Cr3AsCl crystal, with properties calculated at the GGA-PBE level.

Unit cell a=4.186 b=4.186 c=4.186 alpha=90.00 beta=90.00 gamma=90.00
Sites, in units of the cell vectors:
1 Cr 0.000 0.000 0.500
2 Cr 0.000 0.500 0.000
3 Cr 0.500 0.000 0.000
4 As 0.500 0.500 0.500
5 Cl 0.000 0.000 0.000

spin magnetization	3.4	μB per formula unit

=====

(b)
Below is a relaxed Cr3AsCl crystal, with properties calculated at the GGA-PBE level.

Unit cell a=4.955 b=4.955 c=4.955 alpha=90.00 beta=90.00 gamma=90.00
Sites, in units of the cell vectors:
1 Cr 0.000 0.000 0.500
2 Cr 0.000 0.500 0.000
3 Cr 0.500 0.000 0.000
4 As 0.000 0.000 0.000
5 Cl 0.500 0.500 0.500

spin magnetization	14.0	μB per formula unit

=====

(b) wins, 285 meV/atom ahead of the next structure.

=====

(a)
Below is a relaxed CrAsSe2Cl crystal, with properties calculated at the GGA-PBE level.

Unit cell a=4.969 b=4.969 c=4.683 alpha=90.00 beta=90.00 gamma=90.00
Sites, in units of the cell vectors:
1 Cr 0.000 0.000 0.000
2 As 0.500 0.500 0.000
3 Se 0.000 0.500 0.500
4 Se 0.500 0.000 0.500
5 Cl 0.500 0.500 0.500

spin magnetization	0.0	μB per formula unit

=====

(b)
Below is a relaxed CrAsSe2Cl crystal, with properties calculated at the GGA-PBE level.

Unit cell a=4.618 b=4.618 c=4.913 alpha=90.00 beta=90.00 gamma=90.00
Sites, in units of the cell vectors:
1 Cr 0.000 0.000 0.000
2 As 0.000 0.000 0.500
3 Se 0.000 0.500 0.000
4 Se 0.500 0.000 0.000
5 Cl 0.500 0.500 0.500

spin magnetization	0.0	μB per formula unit

=====

(b) wins, 1336 meV/atom ahead of the next structure.

=====

(a)
Below is a relaxed CrAs2SeCl crystal, with properties calculated at the GGA-PBE level.

Unit cell a=4.817 b=4.817 c=5.119 alpha=90.00 beta=90.00 gamma=90.00
Sites, in units of the cell vectors:
1 Cr 0.000 0.000 0.000
2 As 0.000 0.500 0.500
3 As 0.500 0.000 0.500
4 Se 0.500 0.500 0.000
5 Cl 0.500 0.500 0.500

spin magnetization	3.2	μB per formula unit

=====

(b)
Below is a relaxed CrAs2SeCl crystal, with properties calculated at the GGA-PBE level.

Unit cell a=4.734 b=4.734 c=4.577 alpha=90.00 beta=90.00 gamma=90.00
Sites, in units of the cell vectors:
1 Cr 0.000 0.000 0.000
2 As 0.000 0.500 0.000
3 As 0.500 0.000 0.000
4 Se 0.000 0.000 0.500
5 Cl 0.500 0.500 0.500

spin magnetization	0.0	μB per formula unit

=====

(b) wins, 914 meV/atom ahead of the next structure.

=====

(a)
Below is a relaxed Cs2AsHCl6 crystal, with properties calculated at the GGA-PBE level.

Unit cell a=7.748 b=7.748 c=7.142 alpha=116.38 beta=116.38 gamma=97.33
Sites, in units of the cell vectors:
1 Cs 0.239 0.761 0.000
2 Cs 0.761 0.239 0.000
3 As 0.512 0.512 0.509
4 H 0.217 0.217 0.723
5 Cl 0.213 0.213 0.517
6 Cl 0.225 0.225 0.972
7 Cl 0.285 0.716 0.501
8 Cl 0.713 0.713 0.466
9 Cl 0.716 0.285 0.501
10 Cl 0.721 0.721 0.948

spin magnetization	0.0	μB per formula unit

=====

(b)
Below is a relaxed Cs2AsHCl6 crystal, with properties calculated at the GGA-PBE level.

Unit cell a=7.621 b=7.621 c=7.621 alpha=126.76 beta=126.76 gamma=78.65
Sites, in units of the cell vectors:
1 Cs 0.250 0.750 0.500
2 Cs 0.750 0.250 0.500
3 As 0.000 0.000 0.000
4 H 0.500 0.500 0.000
5 Cl 0.210 0.210 0.000
6 Cl 0.262 0.262 0.524
7 Cl 0.262 0.738 0.000
8 Cl 0.738 0.262 0.000
9 Cl 0.738 0.738 0.476
10 Cl 0.790 0.790 0.000

spin magnetization	0.0	μB per formula unit

=====

(a) wins, 291 meV/atom ahead of the next structure.